This record from Alexandria describes a relaxed structure of TlGePt. The functional is PBE.

a = 4.5323 Å, b = 4.5337 Å, c = 7.4917 Å
α = 91.13°, β = 91.41°, γ = 103.90°
Atoms (fractional coordinates):
Tl (0.2331, 0.2301, 0.3441)
Tl (0.7669, 0.7699, 0.6559)
Ge (0.3090, 0.3098, 0.8587)
Ge (0.6910, 0.6902, 0.1413)
Pt (0.2081, 0.7917, 0.9999)
Pt (0.7919, 0.2083, 0.0001)

## Properties
energy relative to the elements = -0.238 eV per atom

***

This record from Alexandria describes a relaxed structure of TlGe2Pt7. The functional is PBE.

a = 10.6229 Å, b = 10.6229 Å, c = 10.6229 Å
α = 157.81°, β = 157.81°, γ = 31.58°
Atoms (fractional coordinates):
Tl (0.0000, 0.0000, 0.0000)
Ge (0.3252, 0.3252, 0.0000)
Ge (0.6748, 0.6748, 0.0000)
Pt (0.1033, 0.6033, 0.5000)
Pt (0.2500, 0.7500, 0.5000)
Pt (0.3967, 0.8967, 0.5000)
Pt (0.5000, 0.5000, 0.0000)
Pt (0.6033, 0.1033, 0.5000)
Pt (0.7500, 0.2500, 0.5000)
Pt (0.8967, 0.3967, 0.5000)

## Properties
energy relative to the elements = -0.271 eV per atom

***

This record from Alexandria describes a relaxed structure of TlGePt3. The functional is PBE.

a = 7.6144 Å, b = 6.9351 Å, c = 7.1921 Å
α = 90.00°, β = 94.65°, γ = 90.00°
Atoms (fractional coordinates):
Tl (0.0525, 0.1317, 0.1993)
Tl (0.0525, 0.3683, 0.6993)
Tl (0.9475, 0.6317, 0.3007)
Tl (0.9475, 0.8683, 0.8007)
Ge (0.3610, 0.7256, 0.5317)
Ge (0.3610, 0.7744, 0.0317)
Ge (0.6390, 0.2256, 0.9683)
Ge (0.6390, 0.2744, 0.4683)
Pt (0.1834, 0.0197, 0.5759)
Pt (0.1834, 0.4803, 0.0759)
Pt (0.3149, 0.1166, 0.9409)
Pt (0.3149, 0.3834, 0.4409)
Pt (0.4364, 0.5060, 0.8113)
Pt (0.4364, 0.9940, 0.3113)
Pt (0.5636, 0.0060, 0.6887)
Pt (0.5636, 0.4940, 0.1887)
Pt (0.6851, 0.6166, 0.5591)
Pt (0.6851, 0.8834, 0.0591)
Pt (0.8166, 0.5197, 0.9241)
Pt (0.8166, 0.9803, 0.4241)

## Properties
energy relative to the elements = -0.185 eV per atom

***

This record from Alexandria describes a relaxed structure of TlGe2Pt2. The functional is PBE.

a = 4.0407 Å, b = 4.0407 Å, c = 13.4725 Å
α = 90.00°, β = 90.00°, γ = 90.00°
Atoms (fractional coordinates):
Tl (0.0000, 0.0000, 0.0000)
Tl (0.5000, 0.5000, 0.5000)
Ge (0.0000, 0.0000, 0.3646)
Ge (0.0000, 0.0000, 0.6354)
Ge (0.5000, 0.5000, 0.1354)
Ge (0.5000, 0.5000, 0.8646)
Pt (0.0000, 0.5000, 0.2500)
Pt (0.0000, 0.5000, 0.7500)
Pt (0.5000, 0.0000, 0.2500)
Pt (0.5000, 0.0000, 0.7500)

## Properties
energy relative to the elements = -0.246 eV per atom

***

This record from Alexandria describes a relaxed structure of TlGe2Pt. The functional is PBE.

a = 6.8169 Å, b = 6.8169 Å, c = 6.8169 Å
α = 90.00°, β = 90.00°, γ = 90.00°
Atoms (fractional coordinates):
Tl (0.0000, 0.0000, 0.0000)
Tl (0.0000, 0.5000, 0.5000)
Tl (0.5000, 0.0000, 0.5000)
Tl (0.5000, 0.5000, 0.0000)
Ge (0.2500, 0.2500, 0.2500)
Ge (0.2500, 0.2500, 0.7500)
Ge (0.2500, 0.7500, 0.2500)
Ge (0.2500, 0.7500, 0.7500)
Ge (0.7500, 0.2500, 0.2500)
Ge (0.7500, 0.2500, 0.7500)
Ge (0.7500, 0.7500, 0.2500)
Ge (0.7500, 0.7500, 0.7500)
Pt (0.0000, 0.0000, 0.5000)
Pt (0.0000, 0.5000, 0.0000)
Pt (0.5000, 0.0000, 0.0000)
Pt (0.5000, 0.5000, 0.5000)

## Properties
energy relative to the elements = 0.195 eV per atom

***

This record from Alexandria describes a relaxed structure of TlGe2Pt2. The functional is PBE.

a = 7.8708 Å, b = 7.8708 Å, c = 3.0463 Å
α = 90.00°, β = 90.00°, γ = 90.00°
Atoms (fractional coordinates):
Tl (0.0000, 0.0000, 0.0000)
Tl (0.5000, 0.5000, 0.0000)
Ge (0.1475, 0.3525, 0.5000)
Ge (0.3525, 0.8525, 0.5000)
Ge (0.6475, 0.1475, 0.5000)
Ge (0.8525, 0.6475, 0.5000)
Pt (0.1353, 0.6353, 0.0000)
Pt (0.3647, 0.1353, 0.0000)
Pt (0.6353, 0.8647, 0.0000)
Pt (0.8647, 0.3647, 0.0000)

## Properties
energy relative to the elements = -0.110 eV per atom

***

This record from Alexandria describes a relaxed structure of TlGe2Pt. The functional is PBE.

a = 3.5783 Å, b = 3.5783 Å, c = 25.9331 Å
α = 90.00°, β = 90.00°, γ = 120.00°
Atoms (fractional coordinates):
Tl (0.0000, 0.0000, 0.0000)
Tl (0.3333, 0.6667, 0.6667)
Tl (0.6667, 0.3333, 0.3333)
Ge (0.0000, 0.0000, 0.1094)
Ge (0.0000, 0.0000, 0.8906)
Ge (0.3333, 0.6667, 0.5573)
Ge (0.3333, 0.6667, 0.7761)
Ge (0.6667, 0.3333, 0.2239)
Ge (0.6667, 0.3333, 0.4427)
Pt (0.0000, 0.0000, 0.5000)
Pt (0.3333, 0.6667, 0.1667)
Pt (0.6667, 0.3333, 0.8333)

## Properties
energy relative to the elements = -0.058 eV per atom

***

This record from Alexandria describes a relaxed structure of TlGePt. The functional is PBE.

a = 3.7598 Å, b = 3.7598 Å, c = 5.6460 Å
α = 90.00°, β = 90.00°, γ = 120.00°
Atoms (fractional coordinates):
Tl (0.0000, 0.0000, 0.0000)
Ge (0.6667, 0.3333, 0.5735)
Pt (0.3333, 0.6667, 0.3702)

## Properties
energy relative to the elements = -0.130 eV per atom

***

This record from Alexandria describes a relaxed structure of TlGe2Pt. The functional is PBE.

a = 7.8971 Å, b = 7.8971 Å, c = 5.6492 Å
α = 90.00°, β = 90.00°, γ = 90.00°
Atoms (fractional coordinates):
Tl (0.0000, 0.0000, 0.0000)
Tl (0.0000, 0.5000, 0.2500)
Tl (0.5000, 0.0000, 0.7500)
Tl (0.5000, 0.5000, 0.5000)
Ge (0.1844, 0.2500, 0.6250)
Ge (0.2500, 0.6844, 0.8750)
Ge (0.2500, 0.8156, 0.3750)
Ge (0.3156, 0.2500, 0.1250)
Ge (0.6844, 0.7500, 0.1250)
Ge (0.7500, 0.1844, 0.3750)
Ge (0.7500, 0.3156, 0.8750)
Ge (0.8156, 0.7500, 0.6250)
Pt (0.0000, 0.0000, 0.5000)
Pt (0.0000, 0.5000, 0.7500)
Pt (0.5000, 0.0000, 0.2500)
Pt (0.5000, 0.5000, 0.0000)

## Properties
energy relative to the elements = 0.001 eV per atom

***

This record from Alexandria describes a relaxed structure of YTlGePt2. The functional is PBE.

a = 4.7583 Å, b = 4.7583 Å, c = 5.1945 Å
α = 90.00°, β = 90.00°, γ = 90.00°
Atoms (fractional coordinates):
Y (0.0000, 0.0000, 0.0000)
Tl (0.5000, 0.5000, 0.0000)
Ge (0.5000, 0.5000, 0.5000)
Pt (0.0000, 0.5000, 0.5000)
Pt (0.5000, 0.0000, 0.5000)

## Properties
energy relative to the elements = -0.083 eV per atom

***

This record from Alexandria describes a relaxed structure of Tm3Ge3Pt2. The functional is PBE.

a = 7.9711 Å, b = 14.4204 Å, c = 5.6314 Å
α = 90.00°, β = 90.00°, γ = 90.00°
Atoms (fractional coordinates):
Tm (0.0390, 0.1113, 0.1274)
Tm (0.0390, 0.3887, 0.1274)
Tm (0.1845, 0.2500, 0.6324)
Tm (0.3155, 0.7500, 0.1324)
Tm (0.4610, 0.6113, 0.6274)
Tm (0.4610, 0.8887, 0.6274)
Tm (0.5390, 0.1113, 0.3726)
Tm (0.5390, 0.3887, 0.3726)
Tm (0.6845, 0.2500, 0.8676)
Tm (0.8155, 0.7500, 0.3676)
Tm (0.9610, 0.6113, 0.8726)
Tm (0.9610, 0.8887, 0.8726)
Ge (0.1810, 0.7500, 0.6269)
Ge (0.2000, 0.0380, 0.5992)
Ge (0.2000, 0.4620, 0.5992)
Ge (0.3000, 0.5380, 0.0992)
Ge (0.3000, 0.9620, 0.0992)
Ge (0.3190, 0.2500, 0.1269)
Ge (0.6810, 0.7500, 0.8731)
Ge (0.7000, 0.0380, 0.9008)
Ge (0.7000, 0.4620, 0.9008)
Ge (0.8000, 0.5380, 0.4008)
Ge (0.8000, 0.9620, 0.4008)
Ge (0.8190, 0.2500, 0.3731)
Pt (0.0860, 0.6092, 0.3714)
Pt (0.0860, 0.8908, 0.3714)
Pt (0.4140, 0.1092, 0.8714)
Pt (0.4140, 0.3908, 0.8714)
Pt (0.5860, 0.6092, 0.1286)
Pt (0.5860, 0.8908, 0.1286)
Pt (0.9140, 0.1092, 0.6286)
Pt (0.9140, 0.3908, 0.6286)

## Properties
energy relative to the elements = -1.010 eV per atom

***

This record from Alexandria describes a relaxed structure of Tm2Ge3Pt. The functional is PBE.

a = 10.5264 Å, b = 4.2769 Å, c = 6.7913 Å
α = 90.00°, β = 129.35°, γ = 90.00°
Atoms (fractional coordinates):
Tm (0.0000, 0.0000, 0.0000)
Tm (0.1291, 0.0000, 0.6241)
Tm (0.5000, 0.5000, 0.0000)
Tm (0.6291, 0.5000, 0.6241)
Ge (0.2182, 0.5000, 0.4074)
Ge (0.3951, 0.0000, 0.2108)
Ge (0.4329, 0.0000, 0.6524)
Ge (0.7182, 0.0000, 0.4074)
Ge (0.8951, 0.5000, 0.2108)
Ge (0.9329, 0.5000, 0.6524)
Pt (0.2345, 0.5000, 0.0404)
Pt (0.7345, 0.0000, 0.0404)

## Properties
energy relative to the elements = -0.798 eV per atom

***

This record from Alexandria describes a relaxed structure of TmGe2Pt7. The functional is PBE.

a = 10.6544 Å, b = 10.6544 Å, c = 10.6544 Å
α = 157.91°, β = 157.91°, γ = 31.45°
Atoms (fractional coordinates):
Tm (0.0000, 0.0000, 0.0000)
Ge (0.3252, 0.3252, 0.0000)
Ge (0.6748, 0.6748, 0.0000)
Pt (0.1020, 0.6020, 0.5000)
Pt (0.2500, 0.7500, 0.5000)
Pt (0.3980, 0.8980, 0.5000)
Pt (0.5000, 0.5000, 0.0000)
Pt (0.6020, 0.1020, 0.5000)
Pt (0.7500, 0.2500, 0.5000)
Pt (0.8980, 0.3980, 0.5000)

## Properties
energy relative to the elements = -0.704 eV per atom

***

This record from Alexandria describes a relaxed structure of TmGePt. The functional is PBE.

a = 4.4166 Å, b = 4.4166 Å, c = 3.4149 Å
α = 90.00°, β = 90.00°, γ = 120.00°
Atoms (fractional coordinates):
Tm (0.0000, 0.0000, 0.0000)
Ge (0.6667, 0.3333, 0.5000)
Pt (0.3333, 0.6667, 0.5000)

## Properties
energy relative to the elements = -1.101 eV per atom

***

This record from Alexandria describes a relaxed structure of Tm2GePt5. The functional is PBE.

a = 5.7947 Å, b = 11.7513 Å, c = 4.1192 Å
α = 90.00°, β = 90.00°, γ = 90.00°
Atoms (fractional coordinates):
Tm (0.2215, 0.1344, 0.0000)
Tm (0.2785, 0.6344, 0.0000)
Tm (0.7215, 0.3656, 0.0000)
Tm (0.7785, 0.8656, 0.0000)
Ge (0.0000, 0.5000, 0.5000)
Ge (0.5000, 0.0000, 0.5000)
Pt (0.0000, 0.0000, 0.5000)
Pt (0.0260, 0.7494, 0.5000)
Pt (0.2253, 0.3826, 0.0000)
Pt (0.2747, 0.8826, 0.0000)
Pt (0.4740, 0.2494, 0.5000)
Pt (0.5000, 0.5000, 0.5000)
Pt (0.5260, 0.7506, 0.5000)
Pt (0.7253, 0.1174, 0.0000)
Pt (0.7747, 0.6174, 0.0000)
Pt (0.9740, 0.2506, 0.5000)

## Properties
energy relative to the elements = -0.966 eV per atom

***

This record from Alexandria describes a relaxed structure of TmGePt. The functional is PBE.

a = 6.9457 Å, b = 4.3422 Å, c = 7.6037 Å
α = 90.00°, β = 90.00°, γ = 90.00°
Atoms (fractional coordinates):
Tm (0.0031, 0.2500, 0.2034)
Tm (0.4969, 0.7500, 0.7034)
Tm (0.5031, 0.2500, 0.2966)
Tm (0.9969, 0.7500, 0.7966)
Ge (0.1900, 0.2500, 0.5894)
Ge (0.3100, 0.7500, 0.0894)
Ge (0.6900, 0.2500, 0.9106)
Ge (0.8100, 0.7500, 0.4106)
Pt (0.2066, 0.7500, 0.4155)
Pt (0.2934, 0.2500, 0.9155)
Pt (0.7066, 0.7500, 0.0845)
Pt (0.7934, 0.2500, 0.5845)

## Properties
energy relative to the elements = -1.141 eV per atom

***

This record from Alexandria describes a relaxed structure of Tm3Ge2Pt. The functional is PBE.

a = 11.4527 Å, b = 4.2434 Å, c = 11.1757 Å
α = 90.00°, β = 90.00°, γ = 90.00°
Atoms (fractional coordinates):
Tm (0.0540, 0.2500, 0.1270)
Tm (0.1217, 0.7500, 0.5588)
Tm (0.2203, 0.2500, 0.8056)
Tm (0.2797, 0.7500, 0.3056)
Tm (0.3783, 0.2500, 0.0588)
Tm (0.4460, 0.7500, 0.6270)
Tm (0.5540, 0.2500, 0.3730)
Tm (0.6217, 0.7500, 0.9412)
Tm (0.7203, 0.2500, 0.6944)
Tm (0.7797, 0.7500, 0.1944)
Tm (0.8783, 0.2500, 0.4412)
Tm (0.9460, 0.7500, 0.8730)
Ge (0.0067, 0.7500, 0.3074)
Ge (0.1848, 0.7500, 0.0062)
Ge (0.3152, 0.2500, 0.5062)
Ge (0.4933, 0.2500, 0.8074)
Ge (0.5067, 0.7500, 0.1926)
Ge (0.6848, 0.7500, 0.4938)
Ge (0.8152, 0.2500, 0.9938)
Ge (0.9933, 0.2500, 0.6926)
Pt (0.1283, 0.2500, 0.3720)
Pt (0.3717, 0.7500, 0.8720)
Pt (0.6283, 0.2500, 0.1280)
Pt (0.8717, 0.7500, 0.6280)

## Properties
energy relative to the elements = -0.973 eV per atom

***

This record from Alexandria describes a relaxed structure of TmGePt. The functional is PBE.

a = 4.0758 Å, b = 8.8221 Å, c = 6.7810 Å
α = 90.00°, β = 90.00°, γ = 90.00°
Atoms (fractional coordinates):
Tm (0.0000, 0.0904, 0.0000)
Tm (0.0000, 0.3535, 0.5748)
Tm (0.0000, 0.6465, 0.0748)
Tm (0.0000, 0.9096, 0.5000)
Ge (0.5000, 0.1139, 0.6776)
Ge (0.5000, 0.4348, 0.2634)
Ge (0.5000, 0.5652, 0.7634)
Ge (0.5000, 0.8861, 0.1776)
Pt (0.5000, 0.1590, 0.3084)
Pt (0.5000, 0.3231, 0.9356)
Pt (0.5000, 0.6769, 0.4356)
Pt (0.5000, 0.8410, 0.8084)

## Properties
energy relative to the elements = -1.012 eV per atom

***

This record from Alexandria describes a relaxed structure of TmGePt. The functional is PBE.

a = 4.3801 Å, b = 13.8675 Å, c = 7.5481 Å
α = 90.00°, β = 90.00°, γ = 90.00°
Atoms (fractional coordinates):
Tm (0.2500, 0.0016, 0.2097)
Tm (0.2500, 0.2500, 0.2930)
Tm (0.2500, 0.4984, 0.2097)
Tm (0.2500, 0.7500, 0.2922)
Tm (0.7500, 0.2500, 0.7078)
Tm (0.7500, 0.5016, 0.7903)
Tm (0.7500, 0.7500, 0.7070)
Tm (0.7500, 0.9984, 0.7903)
Ge (0.2500, 0.1015, 0.5901)
Ge (0.2500, 0.3985, 0.5901)
Ge (0.2500, 0.6526, 0.9108)
Ge (0.2500, 0.8474, 0.9108)
Ge (0.7500, 0.1526, 0.0892)
Ge (0.7500, 0.3474, 0.0892)
Ge (0.7500, 0.6015, 0.4099)
Ge (0.7500, 0.8985, 0.4099)
Pt (0.2500, 0.1405, 0.9198)
Pt (0.2500, 0.3595, 0.9198)
Pt (0.2500, 0.5998, 0.5827)
Pt (0.2500, 0.9002, 0.5827)
Pt (0.7500, 0.0998, 0.4173)
Pt (0.7500, 0.4002, 0.4173)
Pt (0.7500, 0.6405, 0.0802)
Pt (0.7500, 0.8595, 0.0802)

## Properties
energy relative to the elements = -1.144 eV per atom

***

This record from Alexandria describes a relaxed structure of Tm5Ge5Pt2. The functional is PBE.

a = 7.8016 Å, b = 7.8016 Å, c = 10.6950 Å
α = 129.13°, β = 129.13°, γ = 31.49°
Atoms (fractional coordinates):
Tm (0.0000, 0.0000, 0.0000)
Tm (0.1138, 0.1138, 0.4189)
Tm (0.1958, 0.1958, 0.8233)
Tm (0.8042, 0.8042, 0.1767)
Tm (0.8862, 0.8862, 0.5811)
Ge (0.2566, 0.2566, 0.3088)
Ge (0.4357, 0.4357, 0.1635)
Ge (0.5000, 0.5000, 0.5000)
Ge (0.5643, 0.5643, 0.8365)
Ge (0.7434, 0.7434, 0.6912)
Pt (0.3600, 0.3600, 0.7486)
Pt (0.6400, 0.6400, 0.2514)

## Properties
energy relative to the elements = -0.908 eV per atom

***

no.,DFT total energy (eV/atom)
1,-4.580
2,-5.660
3,-5.206
4,-4.983
5,-4.216
6,-4.847
7,-4.468
8,-4.471
9,-4.409
10,-5.189
11,-5.928
12,-5.604
13,-6.303
14,-6.144
15,-6.437
16,-6.184
17,-5.754
18,-6.055
19,-6.187
20,-5.702